DFT (GGA+U) results for an optimized crystal structure of MnVNiF6.

Lattice parameters (Å, degrees): 5.3202 5.3202 9.2633 90.00 90.00 120.00
Space group P-31c (No. 163)
Asymmetric unit:
Mn 0.0000 0.0000 0.0000 [2 per cell]
V 0.3333 0.6667 0.2500 [2 per cell]
Ni 0.3333 0.6667 0.7500 [2 per cell]
F 0.0124 0.3442 0.6312 [12 per cell]

Results
Calculated volume, Å³/f.u.: 114
M_tot, μB per atom: 1.11
VASP energy, eV/atom: -5.6819
Crystal system: trigonal